A plane-wave DFT calculation with PBE-GGA was carried out for crystalline Al4Ga at its relaxed geometry.

The structure belongs to space group Pm-3m (No. 221); the cell edges are 4.8614, 4.8614 and 4.8614 Å and the angles 90.00°, 90.00° and 90.00°. Symmetry generates all atoms from Al at (0.0000, 0.0000, 0.0000), Al at (0.0000, 0.5000, 0.5000) and Ga at (0.5000, 0.5000, 0.5000).

For the distance to the lowest polymorph of the same formula, the calculation gives 3.284 eV per formula unit. The crystal system is cubic.



A plane-wave DFT calculation with PBE-GGA was carried out for crystalline AlGa3 at its relaxed geometry.

The structure belongs to space group I4/mmm (No. 139); the cell edges are 3.9912, 3.9912 and 9.1209 Å and the angles 90.00°, 90.00° and 90.00°. Symmetry generates all atoms from Al at (0.0000, 0.0000, 0.0000), Ga at (0.0000, 0.0000, 0.5000) and Ga at (0.0000, 0.5000, 0.2500).

The crystal system is tetragonal.



A plane-wave DFT calculation with PBE-GGA was carried out for crystalline AlGa at its relaxed geometry.

The structure belongs to space group P6_3/mmc (No. 194); the cell edges are 4.4714, 4.4714 and 5.4075 Å and the angles 90.00°, 90.00° and 120.00°. Symmetry generates all atoms from Al at (0.3333, 0.6667, 0.2500) and Ga at (0.3333, 0.6667, 0.7500).

The crystal system is hexagonal.



A plane-wave DFT calculation with PBE-GGA was carried out for crystalline Al13Ga3 at its relaxed geometry.

The structure belongs to space group Amm2 (No. 38); the cell edges are 8.2312, 8.0732 and 8.0738 Å and the angles 90.00°, 90.00° and 90.00°. Symmetry generates all atoms from Al at (0.0000, 0.0000, 0.0000), Al at (0.0000, 0.0000, 0.5048), Al at (0.0000, 0.2473, 0.7524), Al at (0.2482, 0.2503, 0.0022), Al at (0.2490, 0.0000, 0.7511), Al at (0.5000, 0.0000, 0.5035), Al at (0.5000, 0.2495, 0.2515), Ga at (0.2444, 0.0000, 0.2541) and Ga at (0.5000, 0.0000, 0.9984).

The crystal system is orthorhombic.



The evaluated DFT formation energy for the records listed, in turn: 3.32; 0.18; 0.53; 0.35 eV/f.u..
The evaluated Fermi-level density of states for the records listed, in turn: 0.53; 0.37; 0.37; 0.43 states/eV per atom.